Record 1
Density functional theory data (PBE) for a relaxed Tm2ScCu crystal.

Cell: 3.3809 3.3809 10.5870 Å, 80.81 80.81 60.00°
Closest atoms and distances in Å follow each position.
Element x y z (fractional)
1 Sc 0.0000 0.0000 0.0000  2 Tm 3.16, 6 Sc 3.38
2 Tm 0.1014 0.1014 0.6959  3 Cu 2.82
3 Tm 0.8986 0.8986 0.3041  3 Cu 2.82
4 Cu 0.5000 0.5000 0.5000  6 Tm 2.82

Its spin magnetization is 0.71 μB per cell. As for the symmetry: R-3m. As for the distance to the lowest polymorph of the same formula: 390 meV per atom. The value obtained for the energy of formation from the pure elements is 0.2698 eV per atom.

Record 2
Density functional theory data (PBE) for a relaxed Mn2TlAs crystal.

Cell: 5.0451 5.0451 5.0451 Å, 137.01 119.45 77.10°
Closest atoms and distances in Å follow each position.
Element x y z (fractional)
1 As 0.2500 0.7500 0.5000  4 Mn 2.56
2 Mn 0.0253 0.0253 0.0000  2 As 2.56, 2 Tl 2.85
3 Mn 0.4747 0.4747 0.0000  2 As 2.56, 2 Tl 2.85
4 Tl 0.7500 0.2500 0.5000  8 Mn 2.85-3.10, 4 As 3.14

Its spin magnetization is 7.25 μB per cell. As for the symmetry: Immm. As for the distance to the lowest polymorph of the same formula: 157 meV per atom. The value obtained for the energy of formation from the pure elements is 0.3569 eV per atom.